1) Sm7Er5: optimized geometry, PBE.

Cell and atoms, written as POSCAR:
```
Sm7Er5
1.0
3.552 0.000 0.560
1.424 9.033 2.515
-0.094 0.203 12.136
Sm Er
7 5
Direct
0.639 0.972 0.749 Sm
0.361 0.028 0.251 Sm
0.028 0.693 0.250 Sm
0.972 0.307 0.750 Sm
0.333 0.332 0.003 Sm
0.500 0.500 0.500 Sm
0.667 0.668 0.997 Sm
0.832 0.834 0.501 Er
0.168 0.166 0.499 Er
0.694 0.360 0.252 Er
0.306 0.640 0.748 Er
0.000 0.000 0.000 Er
```

Calculated volume   32.35 Å³ per atom
DOS(E_F)   16.03 states/eV per cell
ρ   8.08 g/cm³
Magnetization   0.0 Bohr magnetons per cell

---

2) Sm7Er5: optimized geometry, PBE.

Cell and atoms, written as POSCAR:
```
Sm7Er5
1.0
-1.330 -3.246 4.508
5.268 0.188 -1.928
-0.394 12.022 8.540
Sm Er
7 5
Direct
0.234 0.468 0.671 Sm
0.766 0.532 0.329 Sm
0.052 0.104 0.213 Sm
0.948 0.896 0.787 Sm
0.687 0.374 0.084 Sm
0.500 0.000 0.500 Sm
0.313 0.626 0.916 Sm
0.144 0.288 0.441 Er
0.856 0.712 0.559 Er
0.384 0.768 0.199 Er
0.616 0.232 0.801 Er
0.000 0.000 0.000 Er
```

Calculated volume   33.04 Å³ per atom
DOS(E_F)   19.32 states/eV per cell
ρ   7.91 g/cm³
Magnetization   0.0 Bohr magnetons per cell

---

The structure with the least stability is 2).

---

1) SmEr: optimized geometry, PBE.

Cell and atoms, written as POSCAR:
```
SmEr
1.0
-1.321 -2.730 -1.819
5.095 -2.215 -0.377
-0.338 -1.884 6.502
Sm Er
2 2
Direct
0.563 0.750 0.626 Sm
0.437 0.250 0.374 Sm
0.823 0.750 0.144 Er
0.177 0.250 0.856 Er
```

Calculated volume   32.22 Å³ per atom
DOS(E_F)   6.81 states/eV per cell
ρ   8.18 g/cm³
Magnetization   0.0 Bohr magnetons per cell

---

2) SmEr: optimized geometry, PBE.

Cell and atoms, written as POSCAR:
```
SmEr
1.0
4.024 0.000 0.000
0.000 4.024 0.000
0.000 0.000 4.024
Sm Er
1 1
Direct
0.500 0.500 0.500 Sm
0.000 0.000 0.000 Er
```

Calculated volume   32.57 Å³ per atom
DOS(E_F)   3.72 states/eV per cell
ρ   8.10 g/cm³
Magnetization   0.0 Bohr magnetons per cell

---

3) SmEr: optimized geometry, PBE.

Cell and atoms, written as POSCAR:
```
SmEr
1.0
-2.579 -2.289 -1.179
1.786 -3.924 3.708
-3.979 2.262 4.310
Sm Er
2 2
Direct
0.500 0.500 0.840 Sm
0.500 0.000 0.504 Sm
0.000 0.000 0.007 Er
0.000 0.500 0.337 Er
```

Calculated volume   32.57 Å³ per atom
DOS(E_F)   6.65 states/eV per cell
ρ   8.10 g/cm³
Magnetization   0.0 Bohr magnetons per cell

---

The structure with the least stability is 2).

---

1) SmEr2Sn: optimized geometry, PBE.

Cell and atoms, written as POSCAR:
```
SmEr2Sn
1.0
3.503 0.000 0.000
1.752 3.034 0.000
1.752 1.011 11.901
Sn Sm Er
1 1 2
Direct
0.000 0.000 0.000 Sn
0.500 0.500 0.500 Sm
0.087 0.087 0.740 Er
0.913 0.913 0.260 Er
```

Calculated volume   31.63 Å³ per atom
DOS(E_F)   4.28 states/eV per cell
ρ   7.92 g/cm³
Magnetization   0.0 Bohr magnetons per cell

---

2) SmEr2Sn: optimized geometry, PBE.

Cell and atoms, written as POSCAR:
```
SmEr2Sn
1.0
4.797 0.000 0.000
0.000 4.823 0.000
0.000 0.000 4.823
Sn Sm Er
1 1 2
Direct
0.500 0.000 0.000 Sn
0.500 0.500 0.500 Sm
0.000 0.000 0.500 Er
0.000 0.500 0.000 Er
```

Calculated volume   27.89 Å³ per atom
DOS(E_F)   4.83 states/eV per cell
ρ   8.98 g/cm³
Magnetization   0.0 Bohr magnetons per cell

---

3) SmEr2Sn: optimized geometry, PBE.

Cell and atoms, written as POSCAR:
```
SmEr2Sn
1.0
-0.239 0.820 -5.346
0.454 -6.675 1.697
-6.882 -0.405 0.245
Sm Er Sn
2 4 2
Direct
0.068 0.136 0.750 Sm
0.932 0.864 0.250 Sm
0.369 0.737 0.980 Er
0.631 0.263 0.020 Er
0.631 0.263 0.480 Er
0.369 0.737 0.520 Er
0.823 0.646 0.750 Sn
0.177 0.354 0.250 Sn
```

Calculated volume   29.64 Å³ per atom
DOS(E_F)   8.41 states/eV per cell
ρ   8.45 g/cm³
Magnetization   0.0 Bohr magnetons per cell

---

4) SmEr2Sn: optimized geometry, PBE.

Cell and atoms, written as POSCAR:
```
SmEr2Sn
1.0
3.736 0.000 0.000
0.000 3.736 0.000
0.000 0.000 8.478
Sn Sm Er
1 1 2
Direct
0.500 0.500 0.000 Sn
0.500 0.500 0.500 Sm
0.000 0.000 0.783 Er
0.000 0.000 0.217 Er
```

Calculated volume   29.58 Å³ per atom
DOS(E_F)   5.66 states/eV per cell
ρ   8.47 g/cm³
Magnetization   0.2 Bohr magnetons per cell

---

The structure with the least stability is 1).

---

1) Tb12SmEr7: optimized geometry, PBE.

Cell and atoms, written as POSCAR:
```
Tb12SmEr7
1.0
-2.329 4.030 -7.322
-5.980 -6.253 -0.644
-4.758 5.064 5.196
Tb Sm Er
12 1 7
Direct
0.812 0.250 0.682 Tb
0.750 0.318 0.188 Tb
0.475 0.146 0.413 Tb
0.854 0.587 0.525 Tb
0.318 0.188 0.750 Tb
0.587 0.525 0.854 Tb
0.413 0.475 0.146 Tb
0.682 0.812 0.250 Tb
0.146 0.413 0.475 Tb
0.525 0.854 0.587 Tb
0.250 0.682 0.812 Tb
0.188 0.750 0.318 Tb
0.000 0.000 0.000 Sm
0.919 0.650 0.983 Er
0.350 0.017 0.081 Er
0.017 0.081 0.350 Er
0.500 0.500 0.500 Er
0.983 0.919 0.650 Er
0.650 0.983 0.919 Er
0.081 0.350 0.017 Er
```

Calculated volume   32.26 Å³ per atom
DOS(E_F)   18.66 states/eV per cell
ρ   8.31 g/cm³
Magnetization   0.0 Bohr magnetons per cell

---

2) Tb12SmEr7: optimized geometry, PBE.

Cell and atoms, written as POSCAR:
```
Tb12SmEr7
1.0
-0.246 -9.513 -2.260
9.293 2.857 1.069
-4.852 1.492 8.360
Tb Sm Er
12 1 7
Direct
0.491 0.745 0.746 Tb
0.000 0.745 0.254 Tb
0.509 0.255 0.254 Tb
0.000 0.255 0.746 Tb
0.746 0.000 0.255 Tb
0.746 0.491 0.745 Tb
0.254 0.000 0.745 Tb
0.254 0.509 0.255 Tb
0.745 0.746 0.491 Tb
0.255 0.254 0.509 Tb
0.745 0.254 0.000 Tb
0.255 0.746 0.000 Tb
0.000 0.000 0.000 Sm
0.500 0.500 0.000 Er
0.000 0.500 0.500 Er
0.500 0.000 0.500 Er
0.500 0.500 0.500 Er
0.000 0.000 0.500 Er
0.500 0.000 0.000 Er
0.000 0.500 0.000 Er
```

Calculated volume   36.01 Å³ per atom
DOS(E_F)   23.87 states/eV per cell
ρ   7.44 g/cm³
Magnetization   0.0 Bohr magnetons per cell

---

The structure with the least stability is 2).